# 1
Entry from OQMD via LeMat-Bulk: an optimized crystal structure of Ho2Br2NCl (PBE).

Unit cell a=9.0458 b=9.0458 c=11.2440 alpha=123.01 beta=123.01 gamma=24.49
Fractional coordinates of all 12 atoms:
Ho 0.0779 0.0779 0.4614
Ho 0.3666 0.3666 0.2135
Ho 0.6334 0.6334 0.7865
Ho 0.9221 0.9221 0.5386
Br 0.1679 0.1679 0.0184
Br 0.4555 0.4555 0.7543
Br 0.5445 0.5445 0.2457
Br 0.8321 0.8321 0.9816
N 0.0732 0.0732 0.6555
N 0.9268 0.9268 0.3445
Cl 0.2944 0.2944 0.3866
Cl 0.7056 0.7056 0.6134

Values from the calculation:
* SG: No. 12



# 2
Entry from OQMD via LeMat-Bulk: an optimized crystal structure of YTaSn2Pt2 (PBE).

Unit cell a=4.5295 b=9.0910 c=6.4370 alpha=90.00 beta=90.00 gamma=90.00
Fractional coordinates of all 12 atoms:
Y 0.0000 0.1237 0.0000
Y 0.5000 0.8763 0.5000
Ta 0.0000 0.6222 0.0069
Ta 0.5000 0.3778 0.5069
Sn 0.0000 0.1276 0.4925
Sn 0.0000 0.6255 0.5198
Sn 0.5000 0.3745 0.0198
Sn 0.5000 0.8724 0.9925
Pt 0.0000 0.3904 0.2698
Pt 0.0000 0.8544 0.2351
Pt 0.5000 0.1456 0.7351
Pt 0.5000 0.6096 0.7698

Values from the calculation:
* SG: No. 31



# 3
Entry from OQMD via LeMat-Bulk: an optimized crystal structure of La2Tc2O5 (PBE).

Unit cell a=3.6106 b=3.6106 c=9.9630 alpha=90.00 beta=90.00 gamma=90.00
Fractional coordinates of all 9 atoms:
La 0.0000 0.0000 0.2402
La 0.0000 0.0000 0.7598
Tc 0.5000 0.5000 0.0000
Tc 0.5000 0.5000 0.5000
O 0.0000 0.0000 0.0000
O 0.0000 0.5000 0.3843
O 0.0000 0.5000 0.6157
O 0.5000 0.0000 0.3843
O 0.5000 0.0000 0.6157

Values from the calculation:
* SG: No. 123



# 4
Entry from OQMD via LeMat-Bulk: an optimized crystal structure of TbErNi2Ge2C (PBE).

Unit cell a=5.8010 b=5.8010 c=6.8252 alpha=125.95 beta=125.95 gamma=39.43
Fractional coordinates of all 7 atoms:
Tb 0.0000 0.0000 0.0000
Er 0.8779 0.8779 0.3352
Ni 0.2422 0.2422 0.8655
Ni 0.6345 0.6345 0.4684
Ge 0.2826 0.2826 0.5503
Ge 0.5955 0.5955 0.7839
C 0.4367 0.4367 0.1699

Values from the calculation:
* SG: No. 8



# 5
Entry from OQMD via LeMat-Bulk: an optimized crystal structure of HfCuPd (PBE).

Unit cell a=4.3130 b=4.3130 c=4.3130 alpha=60.00 beta=60.00 gamma=60.00
Fractional coordinates of all 3 atoms:
Hf 0.0000 0.0000 0.0000
Cu 0.5000 0.5000 0.5000
Pd 0.7500 0.7500 0.7500

Values from the calculation:
* SG: No. 216



# 6
Entry from OQMD via LeMat-Bulk: an optimized crystal structure of LaBeReMo (PBE).

Unit cell a=4.6122 b=4.6122 c=4.6122 alpha=60.00 beta=60.00 gamma=60.00
Fractional coordinates of all 4 atoms:
La 0.0000 0.0000 0.0000
Be 0.2500 0.2500 0.2500
Re 0.5000 0.5000 0.5000
Mo 0.7500 0.7500 0.7500

Values from the calculation:
* SG: No. 216



# 7
Entry from OQMD via LeMat-Bulk: an optimized crystal structure of NbHg2Bi (PBE).

Unit cell a=5.1106 b=5.1106 c=5.1106 alpha=60.00 beta=60.00 gamma=60.00
Fractional coordinates of all 4 atoms:
Nb 0.0000 0.0000 0.0000
Hg 0.2500 0.2500 0.2500
Hg 0.5000 0.5000 0.5000
Bi 0.7500 0.7500 0.7500

Values from the calculation:
* SG: No. 216



# 8
Entry from OQMD via LeMat-Bulk: an optimized crystal structure of Rb2GdScO4 (PBE).

Unit cell a=3.3854 b=3.3854 c=12.8301 alpha=90.00 beta=90.00 gamma=120.00
Fractional coordinates of all 8 atoms:
Rb 0.3333 0.6667 0.2442
Rb 0.6667 0.3333 0.7558
Gd 0.0000 0.0000 0.5000
Sc 0.0000 0.0000 0.0000
O 0.3333 0.6667 0.5950
O 0.3333 0.6667 0.9192
O 0.6667 0.3333 0.0808
O 0.6667 0.3333 0.4050

Values from the calculation:
* SG: No. 164



# 9
Entry from OQMD via LeMat-Bulk: an optimized crystal structure of ZrBeHgPd (PBE).

Unit cell a=4.5580 b=4.5580 c=4.5580 alpha=60.00 beta=60.00 gamma=60.00
Fractional coordinates of all 4 atoms:
Zr 0.0000 0.0000 0.0000
Be 0.2500 0.2500 0.2500
Hg 0.5000 0.5000 0.5000
Pd 0.7500 0.7500 0.7500

Values from the calculation:
* SG: No. 216



# 10
Entry from OQMD via LeMat-Bulk: an optimized crystal structure of Y4ZnCuN2 (PBE).

Unit cell a=3.5121 b=3.5121 c=14.3973 alpha=90.00 beta=90.00 gamma=120.00
Fractional coordinates of all 8 atoms:
Y 0.0000 0.0000 0.1474
Y 0.0000 0.0000 0.8526
Y 0.6667 0.3333 0.3375
Y 0.6667 0.3333 0.6625
Zn 0.0000 0.0000 0.5000
Cu 0.6667 0.3333 0.0000
N 0.3333 0.6667 0.2456
N 0.3333 0.6667 0.7544

Values from the calculation:
* SG: No. 187



# 11
Entry from OQMD via LeMat-Bulk: an optimized crystal structure of DyTm2Cd3Ir2Pt (PBE).

Unit cell a=3.9017 b=7.4765 c=7.4765 alpha=120.11 beta=90.00 gamma=90.00
Fractional coordinates of all 9 atoms:
Dy 0.0000 0.0000 0.0000
Tm 0.0000 0.4068 0.8126
Tm 0.0000 0.8126 0.4068
Cd 0.5000 0.1462 0.4064
Cd 0.5000 0.4064 0.1462
Cd 0.5000 0.6680 0.6680
Ir 0.5000 0.0742 0.7379
Ir 0.5000 0.7379 0.0742
Pt 0.0000 0.4091 0.4091

Values from the calculation:
* SG: No. 38



# 12
Entry from OQMD via LeMat-Bulk: an optimized crystal structure of ZrPaCu (PBE).

Unit cell a=4.5777 b=4.5777 c=4.5777 alpha=60.00 beta=60.00 gamma=60.00
Fractional coordinates of all 3 atoms:
Zr 0.0000 0.0000 0.0000
Pa 0.5000 0.5000 0.5000
Cu 0.7500 0.7500 0.7500

Values from the calculation:
* SG: No. 216



# 13
Entry from OQMD via LeMat-Bulk: an optimized crystal structure of HfZr2Ni2As4Pt2 (PBE).

Unit cell a=6.5705 b=3.8977 c=7.4967 alpha=90.00 beta=90.41 gamma=90.00
Fractional coordinates of all 11 atoms:
Hf 0.0000 0.0000 0.0000
Zr 0.0701 0.5000 0.6288
Zr 0.5549 0.5000 0.4964
Ni 0.1547 0.5000 0.2564
Ni 0.9127 0.0000 0.3640
As 0.2790 0.0000 0.4033
As 0.3023 0.5000 0.9675
As 0.7809 0.0000 0.6673
As 0.7828 0.5000 0.2087
Pt 0.3660 0.0000 0.7555
Pt 0.6949 0.5000 0.8875

Values from the calculation:
* SG: No. 6



# 14
Entry from OQMD via LeMat-Bulk: an optimized crystal structure of Na4TlSnPd2 (PBE).

Unit cell a=4.8899 b=4.8899 c=6.8631 alpha=90.00 beta=90.00 gamma=90.00
Fractional coordinates of all 8 atoms:
Na 0.0000 0.0000 0.0000
Na 0.0000 0.5000 0.2481
Na 0.5000 0.0000 0.7519
Na 0.5000 0.5000 0.5000
Tl 0.5000 0.5000 0.0000
Sn 0.0000 0.0000 0.5000
Pd 0.0000 0.5000 0.7278
Pd 0.5000 0.0000 0.2722

Values from the calculation:
* SG: No. 115



# 15
Entry from OQMD via LeMat-Bulk: an optimized crystal structure of HgIrSeO (PBE).

Unit cell a=4.8898 b=4.9067 c=13.7679 alpha=90.00 beta=92.38 gamma=90.00
Fractional coordinates of all 16 atoms:
Hg 0.0786 0.0000 0.1481
Hg 0.3340 0.3470 0.0019
Hg 0.6660 0.8470 0.9981
Hg 0.9214 0.5000 0.8519
Ir 0.0497 0.0511 0.5900
Ir 0.4444 0.6566 0.5885
Ir 0.5556 0.1566 0.4115
Ir 0.9503 0.5511 0.4100
Se 0.2659 0.3967 0.2955
Se 0.3022 0.3317 0.7047
Se 0.6978 0.8317 0.2953
Se 0.7341 0.8967 0.7045
O 0.2455 0.8597 0.4669
O 0.2523 0.3545 0.4997
O 0.7477 0.8545 0.5003
O 0.7545 0.3597 0.5331

Values from the calculation:
* SG: No. 4



# 16
Entry from OQMD via LeMat-Bulk: an optimized crystal structure of NaSmCdSe3 (PBE).

Unit cell a=11.2732 b=4.2345 c=13.7429 alpha=90.00 beta=90.00 gamma=90.00
Fractional coordinates of all 24 atoms:
Na 0.2144 0.2500 0.0049
Na 0.2856 0.7500 0.5049
Na 0.7144 0.2500 0.4951
Na 0.7856 0.7500 0.9951
Sm 0.0121 0.7500 0.7406
Sm 0.4879 0.2500 0.2406
Sm 0.5121 0.7500 0.7594
Sm 0.9879 0.2500 0.2594
Cd 0.2381 0.7500 0.2200
Cd 0.2619 0.2500 0.7200
Cd 0.7381 0.7500 0.2800
Cd 0.7619 0.2500 0.7800
Se 0.0432 0.7500 0.1162
Se 0.0786 0.2500 0.6045
Se 0.2390 0.2500 0.3401
Se 0.2610 0.7500 0.8401
Se 0.4214 0.7500 0.1045
Se 0.4568 0.2500 0.6162
Se 0.5432 0.7500 0.3838
Se 0.5786 0.2500 0.8955
Se 0.7390 0.2500 0.1599
Se 0.7610 0.7500 0.6599
Se 0.9214 0.7500 0.3955
Se 0.9568 0.2500 0.8838

Values from the calculation:
* SG: No. 62



# 17
Entry from OQMD via LeMat-Bulk: an optimized crystal structure of Sm3Er3Te2Pd (PBE).

Unit cell a=8.4613 b=8.4613 c=4.0099 alpha=90.00 beta=90.00 gamma=120.00
Fractional coordinates of all 9 atoms:
Sm 0.0000 0.5952 0.0000
Sm 0.4048 0.4048 0.0000
Sm 0.5952 0.0000 0.0000
Er 0.0000 0.2430 0.5000
Er 0.2430 0.0000 0.5000
Er 0.7570 0.7570 0.5000
Te 0.3333 0.6667 0.5000
Te 0.6667 0.3333 0.5000
Pd 0.0000 0.0000 0.0000

Values from the calculation:
* SG: No. 189



# 18
Entry from OQMD via LeMat-Bulk: an optimized crystal structure of PrDyAsO (PBE).

Unit cell a=4.3228 b=4.3228 c=9.2277 alpha=90.00 beta=90.00 gamma=90.00
Fractional coordinates of all 8 atoms:
Pr 0.2500 0.7500 0.0000
Pr 0.7500 0.2500 0.0000
Dy 0.2500 0.2500 0.4056
Dy 0.7500 0.7500 0.5944
As 0.2500 0.2500 0.7777
As 0.7500 0.7500 0.2223
O 0.2500 0.7500 0.5000
O 0.7500 0.2500 0.5000

Values from the calculation:
* SG: No. 129



# 19
Entry from OQMD via LeMat-Bulk: an optimized crystal structure of BeCuReGe (PBE).

Unit cell a=4.1590 b=4.1590 c=4.1590 alpha=60.00 beta=60.00 gamma=60.00
Fractional coordinates of all 4 atoms:
Be 0.0000 0.0000 0.0000
Cu 0.5000 0.5000 0.5000
Re 0.7500 0.7500 0.7500
Ge 0.2500 0.2500 0.2500

Values from the calculation:
* SG: No. 216



# 20
Entry from OQMD via LeMat-Bulk: an optimized crystal structure of InAsPtO (PBE).

Unit cell a=4.3388 b=7.2983 c=4.9064 alpha=90.00 beta=90.00 gamma=90.00
Fractional coordinates of all 8 atoms:
In 0.0000 0.1727 0.0000
In 0.0000 0.8273 0.5000
As 0.5000 0.3741 0.8250
As 0.5000 0.6259 0.3250
Pt 0.5000 0.2959 0.3445
Pt 0.5000 0.7041 0.8445
O 0.0000 0.1113 0.4391
O 0.0000 0.8887 0.9391

Values from the calculation:
* SG: No. 26



# 21
Entry from OQMD via LeMat-Bulk: an optimized crystal structure of RbGdTe3Pt (PBE).

Unit cell a=9.2530 b=9.2530 c=10.5604 alpha=90.00 beta=90.00 gamma=153.03
Fractional coordinates of all 12 atoms:
Rb 0.2485 0.7515 0.7500
Rb 0.7515 0.2485 0.2500
Gd 0.0000 0.0000 0.0000
Gd 0.0000 0.0000 0.5000
Te 0.0878 0.9122 0.2500
Te 0.3847 0.6153 0.0826
Te 0.3847 0.6153 0.4174
Te 0.6153 0.3847 0.5826
Te 0.6153 0.3847 0.9174
Te 0.9122 0.0878 0.7500
Pt 0.4954 0.5046 0.2500
Pt 0.5046 0.4954 0.7500

Values from the calculation:
* SG: No. 63



# 22
Entry from OQMD via LeMat-Bulk: an optimized crystal structure of ErScIn (PBE).

Unit cell a=5.2203 b=5.2203 c=6.4313 alpha=90.00 beta=90.00 gamma=120.00
Fractional coordinates of all 6 atoms:
Er 0.3333 0.6667 0.2500
Er 0.6667 0.3333 0.7500
Sc 0.0000 0.0000 0.0000
Sc 0.0000 0.0000 0.5000
In 0.3333 0.6667 0.7500
In 0.6667 0.3333 0.2500

Values from the calculation:
* SG: No. 194



# 23
Entry from OQMD via LeMat-Bulk: an optimized crystal structure of Dy4BiSb3 (PBE).

Unit cell a=6.2282 b=6.2282 c=6.2282 alpha=90.00 beta=90.00 gamma=90.00
Fractional coordinates of all 8 atoms:
Dy 0.0000 0.0000 0.0000
Dy 0.0000 0.5000 0.5000
Dy 0.5000 0.0000 0.5000
Dy 0.5000 0.5000 0.0000
Bi 0.5000 0.5000 0.5000
Sb 0.0000 0.0000 0.5000
Sb 0.0000 0.5000 0.0000
Sb 0.5000 0.0000 0.0000

Values from the calculation:
* SG: No. 221



# 24
Entry from OQMD via LeMat-Bulk: an optimized crystal structure of NaPrPdSe3 (PBE).

Unit cell a=7.4789 b=7.4789 c=10.5181 alpha=90.00 beta=90.00 gamma=147.74
Fractional coordinates of all 12 atoms:
Na 0.2396 0.7604 0.7500
Na 0.7604 0.2396 0.2500
Pr 0.0000 0.0000 0.0000
Pr 0.0000 0.0000 0.5000
Pd 0.4941 0.5059 0.2500
Pd 0.5059 0.4941 0.7500
Se 0.1011 0.8989 0.2500
Se 0.3647 0.6353 0.0889
Se 0.3647 0.6353 0.4111
Se 0.6353 0.3647 0.5889
Se 0.6353 0.3647 0.9111
Se 0.8989 0.1011 0.7500

Values from the calculation:
* SG: No. 63



Ordered VASP energy results: -5.720; -7.224; -7.640; -6.116; -6.430; -7.429; -3.108; -6.710; -4.623; -6.749; -5.113; -6.816; -7.074; -2.938; -4.482; -4.139; -5.215; -6.526; -5.519; -4.905; -4.466; -4.884; -5.417; -4.691; unit eV per atom.